No. 1
Below is a geometry-optimized KWO3 structure, with properties calculated at the PBE with a Hubbard U level.

Results
The final energy comes out at -129.7 eV/cell. For the magnetic moment, the calculation gives 0.000 μB per atom.

a b c (Å): 8.131 4.229 13.341
angles (deg): 90.00 120.38 90.00
Space group P2_1/c (No. 14)
Inequivalent atoms, fractional coordinates:
K 0.212 0.225 0.137 (multiplicity 4)
W 0.356 0.693 0.432 (multiplicity 4)
O 0.172 0.702 0.471 (multiplicity 4)
O 0.316 0.703 0.285 (multiplicity 4)
O 0.376 0.195 0.442 (multiplicity 4)

No. 2
Below is a geometry-optimized KWO3 structure, with properties calculated at the PBE with a Hubbard U level.

Results
The final energy comes out at -64.9 eV/cell. For the magnetic moment, the calculation gives 0.200 μB per atom.

a b c (Å): 3.059 7.148 11.100
angles (deg): 90.00 90.00 90.00
Space group Amm2 (No. 38)
Inequivalent atoms, fractional coordinates:
K 0.000 0.000 0.000 (multiplicity 2)
W 0.500 0.000 0.350 (multiplicity 2)
O 0.000 0.174 0.398 (multiplicity 4)
O 0.500 0.000 0.190 (multiplicity 2)

No. 3
Below is a geometry-optimized K2W2O7 structure, with properties calculated at the PBE with a Hubbard U level.

Results
The final energy comes out at -146.5 eV/cell. For the magnetic moment, the calculation gives 0.012 μB per atom.

a b c (Å): 8.113 10.461 5.717
angles (deg): 90.00 101.64 90.00
Space group C2/m (No. 12)
Inequivalent atoms, fractional coordinates:
K 0.000 0.191 0.000 (multiplicity 4)
W 0.218 0.500 0.415 (multiplicity 4)
O 0.000 0.500 0.500 (multiplicity 2)
O 0.124 0.000 0.317 (multiplicity 4)
O 0.237 0.361 0.241 (multiplicity 8)